No. 1
This record from Alexandria via LeMat-Bulk describes an optimized crystal structure of ScTiNi3. The functional is PBE.

D(E_F) = 3.89 states/eV/cell
energy of formation = 32 kJ/mol of atoms

Lattice parameters (Å, degrees): 4.3630 4.3630 4.3630 90.00 90.00 90.00
Element x y z (fractional)
Sc (0.0000, 0.0000, 0.0000)
Ti (0.5000, 0.5000, 0.5000)
Ni (0.0000, 0.5000, 0.5000)
Ni (0.5000, 0.0000, 0.5000)
Ni (0.5000, 0.5000, 0.0000)



No. 2
This record from Alexandria via LeMat-Bulk describes an optimized crystal structure of ScTiNi. The functional is PBE.

D(E_F) = 7.02 states/eV/cell
energy of formation = -32 kJ/mol of atoms

Lattice parameters (Å, degrees): 4.3727 6.3591 6.3591 120.09 90.00 90.00
Element x y z (fractional)
Sc (0.0000, 0.0000, 0.0000)
Sc (0.0000, 0.1754, 0.5876)
Sc (0.0000, 0.5876, 0.1754)
Ti (0.5000, 0.3294, 0.3294)
Ti (0.5000, 0.5880, 0.8459)
Ti (0.5000, 0.8459, 0.5880)
Ni (0.0000, 0.5874, 0.5874)
Ni (0.5000, 0.2549, 0.9212)
Ni (0.5000, 0.9212, 0.2549)